! Tb2SiSb (PBE, relaxed); values from VASP
&SYSTEM
  ibrav = 0, nat = 4, ntyp = 3
/
ATOMIC_SPECIES
Tb 158.93 Tb.upf
Si 28.09 Si.upf
Sb 121.76 Sb.upf
CELL_PARAMETERS angstrom
4.192 0.000 0.000
2.096 3.630 0.000
2.096 1.210 7.198
ATOMIC_POSITIONS crystal
Tb 0.256 0.256 0.232
Tb 0.744 0.744 0.768
Si 0.000 0.000 0.000
Sb 0.500 0.500 0.500
! - ΔE to the lowest computed polymorph (eV/f.u.) = 0.39
! - M_tot (μB/f.u.) = 0.0
! - formation energy (no corrections) (eV per formula unit) = -3.17